## P2WAu (PBE)

Data for an optimized crystal structure of P2WAu.

Calculated values
calculated volume = 61.17 Å³ per cell
space-group type = No. 225
crystal system = cubic
energy of formation from the pure elements = 0.560 eV/atom
DFT total energy = -6.202 eV/atom

Cell: 4.4226 4.4226 4.4226 Å, 60.00 60.00 60.00°
With the nearest neighbours (Å) after each atom.
Atoms (fractional coordinates):
P 0.2500 0.2500 0.2500  4 W 2.71, 4 Au 2.71
P 0.7500 0.7500 0.7500  4 Au 2.71, 4 W 2.71
Au 0.5000 0.5000 0.5000  8 P 2.71
W 0.0000 0.0000 0.0000  8 P 2.71


## PW2Au (PBE)

Data for an optimized crystal structure of PW2Au.

Calculated values
calculated volume = 62.99 Å³ per cell
space-group type = No. 71
crystal system = orthorhombic
energy of formation from the pure elements = 0.282 eV/atom
DFT total energy = -8.366 eV/atom

Cell: 5.2157 5.2157 5.2157 Å, 145.40 127.72 64.22°
With the nearest neighbours (Å) after each atom.
Atoms (fractional coordinates):
P 0.5000 0.0000 0.5000  4 W 2.43
W 0.7122 0.7122 0.0000  2 P 2.43
W 0.2878 0.2878 0.0000  2 P 2.43
Au 0.0000 0.5000 0.5000  4 P 2.77, 8 W 2.97-2.98, 2 Au 3.10


- What is the energy of formation from the pure elements in the first record?
  0.560 eV/atom